Entry 1:
DFT (PBE) results for an optimized crystal structure of KBa2F8.

## Properties
* E_tot: -48.301 eV per formula unit
* crystal system: monoclinic
* magnetic moment: 0.29 μB/atom

Lattice parameters (Å, degrees): 4.623 6.296 8.152 113.32 106.47 90.00
Last column: magnetic moment on the atom in μB.
Positions (direct):
F 0.220 0.132 0.440  0.45
F 0.997 0.336 0.993  0.46
Ba 0.818 0.346 0.637  -0.01
F 0.003 0.664 0.007  0.46
F 0.350 0.143 0.701  0.44
K 0.500 0.000 0.000  0.01
F 0.657 0.385 0.315  0.08
F 0.343 0.615 0.685  0.08
Ba 0.182 0.654 0.363  -0.01
F 0.780 0.868 0.560  0.45
F 0.650 0.857 0.299  0.44


Entry 2:
DFT (PBE) results for an optimized crystal structure of ZnCdSb.

## Properties
* E_tot: -6.195 eV per formula unit
* crystal system: monoclinic
* magnetic moment: 0.00 μB/atom

Lattice parameters (Å, degrees): 4.415 4.415 9.297 99.83 99.83 70.35
Positions (direct):
Cd 0.666 0.677 0.228
Sb 0.032 0.044 0.070
Zn 0.981 0.493 0.879
Cd 0.795 0.808 0.530
Sb 0.429 0.441 0.688
Zn 0.480 0.993 0.879


Entry 3:
DFT (PBE) results for an optimized crystal structure of TiNbTlO6.

## Properties
* E_tot: -69.179 eV per formula unit
* crystal system: tetragonal
* magnetic moment: 0.00 μB/atom

Lattice parameters (Å, degrees): 4.871 4.871 9.539 90.00 90.00 90.00
Positions (direct):
Ti 0.000 0.000 0.333
O 0.214 0.786 0.812
Nb 0.000 0.000 0.670
Ti 0.500 0.500 0.833
Tl 0.500 0.500 0.502
O 0.323 0.323 0.997
O 0.286 0.286 0.312
O 0.208 0.792 0.188
O 0.792 0.208 0.188
Nb 0.500 0.500 0.170
Tl 0.000 0.000 0.002
O 0.677 0.677 0.997
O 0.708 0.708 0.688
O 0.292 0.292 0.688
O 0.786 0.214 0.812
O 0.177 0.823 0.497
O 0.714 0.714 0.312
O 0.823 0.177 0.497


For the records above, the corresponding calculated volume values read 18.84 27.82 12.58 Å³/atom.